{"formula": "Cr5Hg", "functional": "PBE", "state": "relaxed", "cell": [[-0.086, 2.015, 4.368], [-2.991, 3.659, 0.903], [-3.801, -0.654, 2.876]], "species": ["Cr", "Cr", "Cr", "Cr", "Cr", "Hg"], "frac_coords": [[0.374, 0.374, 0.878], [0.878, 0.374, 0.374], [0.750, 0.750, 0.750], [0.374, 0.374, 0.374], [0.374, 0.878, 0.374], [0.000, 0.000, 0.000]], "total_energy_ev_per_atom": -7.6678, "delta_e_f_ev_per_atom": 0.402, "volume_a3_per_fu": 79, "sg": "F-43m", "dos_ef_per_ev_atom": 0.340}